No. 1
Here is a relaxed Y2Pt crystal from Alexandria via LeMat-Bulk. Energies are from PBE.

abc: 12.3179 3.8017 8.1006
angles: 90.00 123.88 90.00
Space group C2/m (No. 12)
Inequivalent atoms, fractional coordinates:
Y 0.0870 0.0000 0.3834 (multiplicity 4)
Y 0.1635 0.5000 0.0736 (multiplicity 4)
Pt 0.1335 0.5000 0.6913 (multiplicity 4)

- Total moment: 0.000 μB per formula unit
- Energy: -7.214 eV/atom

***

No. 2
Here is a relaxed Y2Pt3 crystal from Alexandria via LeMat-Bulk. Energies are from PBE.

abc: 4.3993 4.3993 20.0127
angles: 90.00 90.00 120.00
Space group R-3m (No. 166, hexagonal axes)
Inequivalent atoms, fractional coordinates:
Y 0.0000 0.0000 0.0919 (multiplicity 6)
Pt 0.0000 0.0000 0.3377 (multiplicity 6)
Pt 0.0000 0.0000 0.5000 (multiplicity 3)

- Total moment: 0.001 μB per formula unit
- Energy: -7.217 eV/atom

***

No. 3
Here is a relaxed Y4Pt3 crystal from Alexandria via LeMat-Bulk. Energies are from PBE.

abc: 5.6240 5.6240 5.6847
angles: 90.00 90.00 120.00
Space group P6/mmm (No. 191)
Inequivalent atoms, fractional coordinates:
Y 0.0000 0.0000 0.2383 (multiplicity 2)
Y 0.3333 0.6667 0.5000 (multiplicity 2)
Pt 0.0000 0.5000 0.0000 (multiplicity 3)

- Total moment: 0.000 μB per formula unit
- Polymorph energy (0 for the lowest one): 0.385 eV/atom